(1)
3
Lattice="3.294 0.000 0.000 0.000 3.902 0.000 -1.647 -1.951 5.105" Properties=species:S:1:pos:R:3 comment="ZrCdSb (meta-GGA SCAN, PBEsol geometry)" magnetic_moment_mub_per_fu=0.000 raw_formation_energy_ev_per_atom=-0.212 mass_density_kg_m3=8234 e_above_lowest_polymorph_mev_per_atom=0.0 pbc="T T T"
Cd 1.647 1.951 5.085
Sb 1.647 1.951 1.726
Zr 0.000 0.000 3.399

---

(2)
4
Lattice="4.158 0.000 0.000 0.000 4.158 0.000 -2.079 -2.079 4.305" Properties=species:S:1:pos:R:3 comment="CdInAg2 (meta-GGA SCAN, PBEsol geometry)" magnetic_moment_mub_per_fu=0.000 formation_enthalpy_0k_ev_per_fu=0.00 mass_density_kg_m3=9884 pbc="T T T"
In 0.000 2.079 2.153
Ag 0.000 0.000 0.000
Ag 2.079 0.000 2.153
Cd 2.079 2.079 0.000

---

(3)
4
Lattice="-0.491 -0.592 -3.795 3.220 -2.149 -0.081 -2.354 -3.560 0.860" Properties=species:S:1:pos:R:3 comment="Ta2InNi (meta-GGA SCAN, PBEsol geometry)" magnetic_moment_mub_per_fu=0.000 formation_enthalpy_0k_ev_per_fu=0.16 mass_density_kg_m3=13620 pbc="T T T"
In -1.422 -2.076 -1.467
Ni 0.433 -2.854 0.389
Ta 0.000 0.000 0.000
Ta 1.365 -1.371 -1.938

---

(4)
4
Lattice="3.127 0.000 0.000 0.000 3.127 0.000 0.000 0.000 8.252" Properties=species:S:1:pos:R:3 comment="BaTc2Ag (meta-GGA SCAN, PBEsol geometry)" magnetic_moment_mub_per_fu=0.000 formation_enthalpy_0k_ev_per_fu=1.74 mass_density_kg_m3=9082 e_above_lowest_polymorph_mev_per_atom=0.0 pbc="T T T"
Ag 0.000 0.000 3.666
Ba 1.563 1.563 6.271
Tc 0.000 0.000 0.626
Tc 1.563 1.563 1.815

---

(5)
5
Lattice="5.980 0.000 0.000 0.000 5.980 0.000 0.000 0.000 6.552" Properties=species:S:1:pos:R:3 comment="BaPS2Cl (meta-GGA SCAN, PBEsol geometry)" magnetic_moment_mub_per_fu=6.000 raw_formation_energy_ev_per_atom=0.650 mass_density_kg_m3=1898 pbc="T T T"
P 0.000 0.000 3.276
S 0.000 2.990 0.000
S 2.990 0.000 0.000
Ba 0.000 0.000 0.000
Cl 2.990 2.990 3.276

---

(6)
3
Lattice="-1.943 -0.973 3.999 -1.912 -1.443 -3.870 2.687 -4.275 0.266" Properties=species:S:1:pos:R:3 comment="BaTlSi (meta-GGA SCAN, PBEsol geometry)" magnetic_moment_mub_per_fu=0.000 raw_formation_energy_ev_per_atom=-0.345 mass_density_kg_m3=6770 pbc="T T T"
Ba 2.661 -4.233 0.263
Si -0.398 -3.711 -1.096
Tl -0.744 -3.021 1.494

---

(7)
8
Lattice="-3.736 -1.366 2.032 -1.451 -7.007 -2.467 2.074 -3.407 6.433" Properties=species:S:1:pos:R:3 comment="LiHg2Cl (meta-GGA SCAN, PBEsol geometry)" magnetic_moment_mub_per_fu=0.000 raw_formation_energy_ev_per_atom=-0.745 mass_density_kg_m3=6304 e_above_lowest_polymorph_mev_per_atom=165.7 pbc="T T T"
Li -1.868 -0.683 1.016
Li -0.622 -5.549 2.491
Hg -0.852 -3.483 4.685
Hg -1.327 -7.955 0.805
Hg -1.766 -3.647 0.439
Hg -2.281 -8.474 6.067
Cl 0.000 0.000 0.000
Cl -2.491 -6.232 3.507

---

(8)
5
Lattice="-0.975 5.417 0.227 -4.056 -0.897 3.984 3.955 0.538 4.147" Properties=species:S:1:pos:R:3 comment="LaAs2SeBr (meta-GGA SCAN, PBEsol geometry)" magnetic_moment_mub_per_fu=1.041 raw_formation_energy_ev_per_atom=0.369 mass_density_kg_m3=4073 pbc="T T T"
As 1.977 0.269 2.074
As -2.028 -0.449 1.992
Se -0.488 2.708 0.114
Br -0.538 2.529 4.179
La 0.000 0.000 0.000

---

(9)
5
Lattice="-1.066 3.601 -3.417 -0.594 -3.562 -3.569 -4.928 -0.350 1.170" Properties=species:S:1:pos:R:3 comment="TiZnBr3 (meta-GGA SCAN, PBEsol geometry)" magnetic_moment_mub_per_fu=0.996 raw_formation_energy_ev_per_atom=-0.670 mass_density_kg_m3=4478 pbc="T T T"
Zn -3.295 -0.155 -2.908
Br -0.297 -1.781 -1.785
Br -2.464 -0.175 0.585
Br -0.533 1.801 -1.708
Ti 0.000 0.000 0.000

---

(10)
8
Lattice="-4.500 1.760 1.428 0.080 -3.180 -3.908 2.352 -3.121 3.181" Properties=species:S:1:pos:R:3 comment="Li2OsF (meta-GGA SCAN, PBEsol geometry)" magnetic_moment_mub_per_fu=0.839 raw_formation_energy_ev_per_atom=-0.431 mass_density_kg_m3=7873 e_above_lowest_polymorph_mev_per_atom=0.0 pbc="T T T"
Li 0.663 -4.136 -1.606
Li -2.123 -1.980 2.125
Li -0.135 -2.867 0.594
Li -2.542 -0.099 0.289
Os 0.000 0.000 0.000
Os -1.602 -2.285 -1.422
F 1.216 -3.151 -0.364
F -0.466 -2.256 2.123

---

(11)
4
Lattice="-0.245 -2.688 2.510 4.157 0.596 1.044 -3.145 4.002 1.272" Properties=species:S:1:pos:R:3 comment="Mg2InRh (meta-GGA SCAN, PBEsol geometry)" magnetic_moment_mub_per_fu=0.000 formation_enthalpy_0k_ev_per_fu=-1.57 mass_density_kg_m3=6289 pbc="T T T"
Mg 1.322 0.529 3.402
Mg -0.555 1.380 1.424
Rh -0.123 -1.344 1.255
In 2.078 0.298 0.522

---

(12)
4
Lattice="4.502 0.000 0.000 0.000 4.502 0.000 0.000 0.000 4.705" Properties=species:S:1:pos:R:3 comment="SbPtPb2 (meta-GGA SCAN, PBEsol geometry)" magnetic_moment_mub_per_fu=0.000 raw_formation_energy_ev_per_atom=0.198 mass_density_kg_m3=12732 pbc="T T T"
Pb 0.000 2.251 0.000
Pb 2.251 0.000 0.000
Pt 2.251 2.251 2.352
Sb 0.000 0.000 2.352

---

(13)
2
Lattice="-0.469 -2.878 -3.205 0.168 -4.245 0.857 -3.597 -2.404 -0.244" Properties=species:S:1:pos:R:3 comment="LuBi (meta-GGA SCAN, PBEsol geometry)" magnetic_moment_mub_per_fu=0.000 formation_enthalpy_0k_ev_per_fu=-1.69 mass_density_kg_m3=11080 pbc="T T T"
Lu -1.949 -4.763 -1.296
Bi 0.000 0.000 0.000

---

(14)
2
Lattice="-0.416 -0.287 -2.687 -2.517 -0.950 0.491 -1.226 3.172 -0.150" Properties=species:S:1:pos:R:3 comment="MnAl (meta-GGA SCAN, PBEsol geometry)" magnetic_moment_mub_per_fu=2.550 formation_enthalpy_0k_ev_per_fu=-0.91 mass_density_kg_m3=5344 pbc="T T T"
Mn -2.079 0.968 -1.173
Al 0.000 0.000 0.000

---

(15)
10
Lattice="-2.726 0.236 -0.382 -0.161 -5.820 -2.446 -1.014 -2.391 5.756" Properties=species:S:1:pos:R:3 comment="Be2Cu2Au (meta-GGA SCAN, PBEsol geometry)" magnetic_moment_mub_per_fu=0.000 formation_enthalpy_0k_ev_per_fu=-0.90 mass_density_kg_m3=10309 pbc="T T T"
Be -0.940 -4.225 4.100
Be -0.779 -6.566 1.507
Be -0.234 -3.986 -0.789
Be -0.395 -1.645 1.803
Au 0.000 0.000 0.000
Au -0.587 -4.106 1.655
Cu -2.051 -2.343 3.197
Cu -2.326 -5.712 3.079
Cu -1.850 -5.633 -0.269
Cu -1.575 -2.264 -0.151

---

(16)
5
Lattice="5.014 0.000 0.000 0.000 5.014 0.000 0.000 0.000 5.014" Properties=species:S:1:pos:R:3 comment="MnTe3Pd (meta-GGA SCAN, PBEsol geometry)" magnetic_moment_mub_per_fu=3.799 raw_formation_energy_ev_per_atom=0.473 mass_density_kg_m3=7166 e_above_lowest_polymorph_mev_per_atom=136.0 pbc="T T T"
Mn 0.000 0.000 0.000
Te 0.000 2.507 0.000
Te 0.000 0.000 2.507
Te 2.507 0.000 0.000
Pd 2.507 2.507 2.507

---

(17)
4
Lattice="3.649 0.000 0.000 0.000 5.486 0.000 0.000 0.000 5.486" Properties=species:S:1:pos:R:3 comment="KTeBr2 (meta-GGA SCAN, PBEsol geometry)" magnetic_moment_mub_per_fu=0.001 raw_formation_energy_ev_per_atom=-0.673 mass_density_kg_m3=4937 e_above_lowest_polymorph_mev_per_atom=0.0 pbc="T T T"
Br 0.000 0.000 2.743
Br 0.000 2.743 0.000
K 1.824 2.743 2.743
Te 1.824 0.000 0.000

---

(18)
4
Lattice="3.209 0.000 0.000 0.000 4.479 0.000 0.000 0.000 6.129" Properties=species:S:1:pos:R:3 comment="AgTeCl2 (meta-GGA SCAN, PBEsol geometry)" magnetic_moment_mub_per_fu=0.000 raw_formation_energy_ev_per_atom=-0.088 mass_density_kg_m3=5774 e_above_lowest_polymorph_mev_per_atom=113.8 pbc="T T T"
Te 1.605 2.240 0.000
Ag 0.000 2.240 3.065
Cl 0.000 0.000 0.000
Cl 1.605 0.000 3.065

---

(19)
3
Lattice="2.642 -0.001 0.000 -0.862 2.497 0.000 -0.890 -1.248 7.010" Properties=species:S:1:pos:R:3 comment="LiMoW (meta-GGA SCAN, PBEsol geometry)" magnetic_moment_mub_per_fu=0.000 formation_enthalpy_0k_ev_per_fu=1.09 mass_density_kg_m3=10295 e_above_lowest_polymorph_mev_per_atom=0.0 pbc="T T T"
Li 0.890 1.248 7.003
Mo 0.890 1.248 2.390
W 0.000 0.000 4.628

---

(20)
3
Lattice="4.470 0.000 0.000 2.235 3.871 0.000 2.235 1.290 3.649" Properties=species:S:1:pos:R:3 comment="ScCuBr (meta-GGA SCAN, PBEsol geometry)" magnetic_moment_mub_per_fu=0.000 raw_formation_energy_ev_per_atom=0.127 mass_density_kg_m3=4955 pbc="T T T"
Br 4.470 2.581 1.825
Cu 2.235 1.290 0.912
Sc 0.000 0.000 0.000

---

(21)
5
Lattice="4.020 0.000 0.000 0.000 4.020 0.000 0.000 0.000 4.842" Properties=species:S:1:pos:R:3 comment="AlTc2ClF (meta-GGA SCAN, PBEsol geometry)" magnetic_moment_mub_per_fu=3.911 raw_formation_energy_ev_per_atom=0.586 mass_density_kg_m3=5888 pbc="T T T"
F 0.000 0.000 0.000
Al 2.010 2.010 2.421
Tc 0.000 2.010 0.000
Tc 2.010 0.000 0.000
Cl 0.000 0.000 2.421

---

(22)
4
Lattice="-4.784 0.344 -0.831 -2.997 -3.512 1.544 -3.057 0.857 3.691" Properties=species:S:1:pos:R:3 comment="NdGaAu2 (meta-GGA SCAN, PBEsol geometry)" magnetic_moment_mub_per_fu=0.000 formation_enthalpy_0k_ev_per_fu=-2.90 mass_density_kg_m3=12374 pbc="T T T"
Au -2.710 -0.578 1.101
Au -8.129 -1.733 3.302
Nd 0.000 0.000 0.000
Ga -5.419 -1.156 2.201

---

(23)
3
Lattice="-0.795 2.248 -2.579 -2.456 -2.218 -1.177 -2.423 1.563 2.110" Properties=species:S:1:pos:R:3 comment="YCoC (meta-GGA SCAN, PBEsol geometry)" magnetic_moment_mub_per_fu=0.957 formation_enthalpy_0k_ev_per_fu=-0.87 mass_density_kg_m3=6021 e_above_lowest_polymorph_mev_per_atom=62.7 pbc="T T T"
Y 0.000 0.000 0.000
C -1.626 0.015 -1.878
Co -2.837 0.797 -0.822

---

(24)
4
Lattice="3.348 0.000 0.000 0.000 3.397 0.000 0.000 0.000 5.670" Properties=species:S:1:pos:R:3 comment="Al2AgAu (meta-GGA SCAN, PBEsol geometry)" magnetic_moment_mub_per_fu=0.000 formation_enthalpy_0k_ev_per_fu=-1.05 mass_density_kg_m3=9239 pbc="T T T"
Au 1.674 1.699 0.000
Al 0.000 0.000 4.276
Al 0.000 0.000 1.395
Ag 1.674 1.699 2.835

---

(25)
4
Lattice="3.994 0.000 0.000 0.000 3.994 0.000 0.000 0.000 3.994" Properties=species:S:1:pos:R:3 comment="ZrPt3 (meta-GGA SCAN, PBEsol geometry)" magnetic_moment_mub_per_fu=0.000 formation_enthalpy_0k_ev_per_fu=-4.73 mass_density_kg_m3=17631 pbc="T T T"
Zr 0.000 0.000 0.000
Pt 0.000 1.997 1.997
Pt 1.997 0.000 1.997
Pt 1.997 1.997 0.000

---

(26)
28
Lattice="-2.669 -0.984 2.528 -0.954 -9.811 -4.828 7.995 -4.139 6.831" Properties=species:S:1:pos:R:3 comment="La2ZnO4 (meta-GGA SCAN, PBEsol geometry)" magnetic_moment_mub_per_fu=0.000 raw_formation_energy_ev_per_atom=-3.103 mass_density_kg_m3=5730 pbc="T T T"
Zn 5.229 -9.642 3.200
Zn 3.396 -4.724 6.045
Zn 0.975 -10.210 -1.514
Zn -0.858 -5.292 1.331
O 7.084 -5.350 6.831
O 6.416 -10.887 3.969
O 3.992 -6.521 5.974
O 4.861 -7.864 3.504
O 3.104 -13.290 2.400
O 4.358 -10.679 1.876
O 2.092 -4.679 4.685
O 1.559 -8.825 2.508
O 2.812 -6.109 2.023
O 2.279 -10.255 -0.154
O 0.013 -4.255 2.655
O 1.267 -1.644 2.131
O -0.490 -7.070 1.027
O 0.379 -8.414 -1.443
O -2.045 -4.048 0.562
O -2.713 -9.585 -2.300
La 6.256 -6.972 5.324
La 5.561 -12.811 2.317
La 2.509 -7.262 4.120
La 2.008 -11.108 2.093
La 2.363 -3.826 2.438
La 1.862 -7.672 0.411
La -1.190 -2.123 2.214
La -1.884 -7.963 -0.793